The following is a PBE with a Hubbard U calculation of a geometry-optimized TlVInF2 structure, from Alexandria.

Summary:
Its space group is P4/mmm, No. 123. As for the magnetic moment: 3.13 μB/cell. As for the density of states at the Fermi level: 0.5595 states/eV/atom. As for the electronic total energy: -3.817 eV per atom.

a = 4.3253 Å, b = 4.3253 Å, c = 6.0710 Å
α = 90.00°, β = 90.00°, γ = 90.00°
Positions (direct):
Tl 0.0000 0.0000 0.0000
V 0.5000 0.5000 0.0000
In 0.0000 0.0000 0.5000
F 0.0000 0.5000 0.5000
F 0.5000 0.0000 0.5000